# 1
This record from Alexandria via LeMat-Bulk describes a relaxed structure of LaIrRu2. The functional is GGA-PBE.

Cell lengths 5.012, 5.012, 5.163 Å; angles 100.71, 100.71, 34.30 degrees
Positions (direct):
La 0.000 0.000 0.000
Ir 0.764 0.764 0.302
Ru 0.235 0.235 0.700
Ru 0.502 0.502 0.506

Values from the calculation:
Calculated formation energy: 17 kJ/mol of atoms
Excess energy over the best structure of this formula in the dataset: 0.129 eV/f.u.

=====

# 2
This record from Alexandria via LeMat-Bulk describes a relaxed structure of Rb2PtI4Cl2. The functional is GGA-PBE.

Cell lengths 7.842, 7.842, 8.107 Å; angles 120.75, 120.75, 61.16 degrees
Positions (direct):
Rb 0.249 0.249 0.284
Rb 0.751 0.751 0.716
Pt 0.000 0.000 0.500
I 0.216 0.737 0.242
I 0.263 0.784 0.758
I 0.737 0.216 0.242
I 0.784 0.263 0.758
Cl 0.216 0.216 0.673
Cl 0.784 0.784 0.327

Values from the calculation:
Uncorrected formation energy: -8.2 eV/f.u.

=====

# 3
This record from Alexandria via LeMat-Bulk describes a relaxed structure of Tb2ThAs. The functional is GGA-PBE.

Cell lengths 9.518, 9.518, 9.518 Å; angles 23.27, 23.27, 23.27 degrees
Positions (direct):
Tb 0.230 0.230 0.230
Tb 0.770 0.770 0.770
Th 0.000 0.000 0.000
As 0.500 0.500 0.500

Values from the calculation:
Calculated formation energy: -56 kJ/mol of atoms

=====

# 4
This record from Alexandria via LeMat-Bulk describes a relaxed structure of CaMoPd. The functional is GGA-PBE.

Cell lengths 5.039, 2.902, 7.978 Å; angles 90.00, 90.00, 90.00 degrees
Positions (direct):
Ca 0.250 0.000 0.134
Ca 0.750 0.000 0.866
Mo 0.000 0.000 0.500
Mo 0.500 0.000 0.500
Pd 0.250 0.500 0.766
Pd 0.750 0.500 0.234

Values from the calculation:
Calculated formation energy: 6 kJ/mol of atoms
Excess energy over the best structure of this formula in the dataset: 0.502 eV/f.u.

=====

# 5
This record from Alexandria via LeMat-Bulk describes a relaxed structure of Er3Tm4Au4. The functional is GGA-PBE.

Cell lengths 8.940, 8.940, 8.940 Å; angles 149.03, 129.49, 60.44 degrees
Positions (direct):
Er 0.000 0.000 0.000
Er 0.397 0.897 0.500
Er 0.603 0.103 0.500
Tm 0.041 0.327 0.714
Tm 0.387 0.673 0.714
Tm 0.613 0.327 0.286
Tm 0.959 0.673 0.286
Au 0.205 0.205 0.000
Au 0.311 0.500 0.811
Au 0.689 0.500 0.189
Au 0.795 0.795 0.000

Values from the calculation:
Calculated formation energy: -56 kJ/mol of atoms